1.
Density functional theory data (PBE) for an optimized crystal structure of TbTm2In.

Lattice parameters (Å, degrees): 11.9889 11.9889 11.9889 16.52 16.52 16.52
Positions (direct):
Tb 0.0000 0.0000 0.0000
Tm 0.0956 0.0956 0.0956
Tm 0.9044 0.9044 0.9044
In 0.5000 0.5000 0.5000

## Properties
ΔH_f (0 K) in eV per formula unit: 0.3
Space group: R-3m
Excess energy over the best structure of this formula in the dataset in meV/atom: 346.3
VASP energy in eV/cell: -15.97



2.
Density functional theory data (PBE) for an optimized crystal structure of Tb9Tm4In11.

Lattice parameters (Å, degrees): 13.7614 13.7614 3.4613 90.00 90.00 99.65
Positions (direct):
Tb 0.0000 0.0000 0.0000
Tb 0.1251 0.6437 0.0000
Tb 0.2916 0.4675 0.0000
Tb 0.3563 0.8749 0.0000
Tb 0.4675 0.2916 0.0000
Tb 0.5325 0.7084 0.0000
Tb 0.6437 0.1251 0.0000
Tb 0.7084 0.5325 0.0000
Tb 0.8749 0.3563 0.0000
Tm 0.0695 0.2358 0.0000
Tm 0.2358 0.0695 0.0000
Tm 0.7642 0.9305 0.0000
Tm 0.9305 0.7642 0.0000
In 0.0806 0.4332 0.5000
In 0.1361 0.8639 0.5000
In 0.2653 0.2653 0.5000
In 0.3308 0.6692 0.5000
In 0.4332 0.0806 0.5000
In 0.5000 0.5000 0.5000
In 0.5668 0.9194 0.5000
In 0.6692 0.3308 0.5000
In 0.7347 0.7347 0.5000
In 0.8639 0.1361 0.5000
In 0.9194 0.5668 0.5000

## Properties
ΔH_f (0 K) in eV per formula unit: -9.2
Space group: Cmmm
VASP energy in eV/cell: -98.89



3.
Density functional theory data (PBE) for an optimized crystal structure of Tb2Tm8In.

Lattice parameters (Å, degrees): 9.9486 9.9486 6.3349 94.91 94.91 31.87
Positions (direct):
Tb 0.2436 0.2436 0.3338
Tb 0.7564 0.7564 0.6662
Tm 0.0452 0.0452 0.2665
Tm 0.1525 0.1525 0.8067
Tm 0.3386 0.3386 0.8770
Tm 0.4214 0.4214 0.4045
Tm 0.5786 0.5786 0.5955
Tm 0.6614 0.6614 0.1230
Tm 0.8475 0.8475 0.1933
Tm 0.9548 0.9548 0.7335
In 0.5000 0.5000 0.0000

## Properties
ΔH_f (0 K) in eV per formula unit: -0.6
Space group: C2/m
VASP energy in eV/cell: -48.35



4.
Density functional theory data (PBE) for an optimized crystal structure of Tb3TmIn2.

Lattice parameters (Å, degrees): 5.1883 9.8153 6.7052 90.00 90.00 90.00
Positions (direct):
Tb 0.0000 0.0344 0.0000
Tb 0.0000 0.3226 0.3447
Tb 0.0000 0.6774 0.8447
Tb 0.0000 0.9656 0.5000
Tb 0.5000 0.1823 0.7229
Tb 0.5000 0.8177 0.2229
Tm 0.5000 0.4638 0.0664
Tm 0.5000 0.5362 0.5664
In 0.0000 0.3567 0.8248
In 0.0000 0.6433 0.3248
In 0.5000 0.1440 0.2439
In 0.5000 0.8560 0.7439

## Properties
ΔH_f (0 K) in eV per formula unit: -2.1
Space group: Pmc2_1
Excess energy over the best structure of this formula in the dataset in meV/atom: 0.0
VASP energy in eV/cell: -51.95